Record 1
! BaPtRh2 SCAN PBEsol geometry; values from VASP
! Formation energy from the elements: 24.31 kJ/mol of atoms
! ρ: 11.7 g cm⁻³
&SYSTEM
  ibrav = 0, nat = 4, ntyp = 3
/
ATOMIC_SPECIES
Ba 137.33 Ba.upf
Rh 102.91 Rh.upf
Pt 195.08 Pt.upf
CELL_PARAMETERS angstrom
-0.743 -2.779 -0.505
0.730 0.472 -3.670
6.572 -1.949 1.057
ATOMIC_POSITIONS crystal
Ba 0.500 0.500 0.000
Rh 0.000 0.000 0.684
Rh 0.000 0.000 0.316
Pt 0.500 0.500 0.500


Record 2
! BaPt2Rh SCAN PBEsol geometry; values from VASP
! Formation energy from the elements: 20.70 kJ/mol of atoms
! ρ: 13.9 g cm⁻³
&SYSTEM
  ibrav = 0, nat = 4, ntyp = 3
/
ATOMIC_SPECIES
Pt 195.08 Pt.upf
Rh 102.91 Rh.upf
Ba 137.33 Ba.upf
CELL_PARAMETERS angstrom
3.007 0.000 0.000
0.000 5.164 -0.022
0.000 -1.769 4.851
ATOMIC_POSITIONS crystal
Pt 0.000 0.000 0.500
Pt 0.000 0.500 0.000
Rh 0.500 0.000 0.000
Ba 0.500 0.500 0.500


Record 3
! BaPt2Rh SCAN PBEsol geometry; values from VASP
! Formation energy from the elements: 22.73 kJ/mol of atoms
! ρ: 13.6 g cm⁻³
&SYSTEM
  ibrav = 0, nat = 4, ntyp = 3
/
ATOMIC_SPECIES
Rh 102.91 Rh.upf
Pt 195.08 Pt.upf
Ba 137.33 Ba.upf
CELL_PARAMETERS angstrom
3.753 0.000 0.000
0.000 4.625 0.000
-1.877 -2.312 4.449
ATOMIC_POSITIONS crystal
Rh 0.500 0.000 0.000
Pt 0.225 0.225 0.451
Pt 0.775 0.775 0.549
Ba 0.000 0.500 0.000